1.
VASP calculation (PBE) on a relaxed PmGdHoAl crystal.

Geometry as extended XYZ:
```
4
Lattice="-5.342 -0.542 0.539 -2.103 -1.398 4.769 -2.801 3.607 2.875" Properties=species:S:1:pos:R:3 pbc="T T T"
Al -2.561 0.417 2.046
Gd 0.000 0.000 0.000
Ho -7.684 1.251 6.137
Pm -5.123 0.834 4.092
```

Computed properties:
Formation energy from the elements, eV per atom: -0.07
Uncorrected energy, eV/atom: -6.86

***

2.
VASP calculation (PBE) on a relaxed HgIr2W crystal.

Geometry as extended XYZ:
```
4
Lattice="4.105 0.000 0.000 0.000 2.826 0.004 0.000 2.819 5.679" Properties=species:S:1:pos:R:3 pbc="T T T"
Hg 2.052 4.236 4.323
Ir 0.000 2.825 0.062
Ir 2.052 1.404 1.536
W 0.000 2.828 2.609
```

Computed properties:
Formation energy from the elements, eV per atom: 0.35
Uncorrected energy, eV/atom: -7.40

***

3.
VASP calculation (PBE) on a relaxed Tb5Ga4Au crystal.

Geometry as extended XYZ:
```
10
Lattice="3.585 0.000 0.000 0.000 3.585 0.000 0.000 0.000 18.083" Properties=species:S:1:pos:R:3 pbc="T T T"
Tb 1.793 1.793 1.828
Tb 1.793 1.793 5.452
Tb 1.793 1.793 9.042
Tb 1.793 1.793 12.631
Tb 1.793 1.793 16.255
Ga 0.000 0.000 3.656
Ga 0.000 0.000 7.260
Ga 0.000 0.000 10.823
Ga 0.000 0.000 14.428
Au 0.000 0.000 0.000
```

Computed properties:
Formation energy from the elements, eV per atom: -0.63
Uncorrected energy, eV/atom: -4.48

***

4.
VASP calculation (PBE) on a relaxed Y3Ag3IrO8 crystal.

Geometry as extended XYZ:
```
15
Lattice="6.775 0.000 0.000 -3.387 5.865 -0.027 0.000 -3.896 5.792" Properties=species:S:1:pos:R:3 pbc="T T T"
Y 3.387 -1.948 2.896
Y 1.694 0.984 2.882
Y -1.694 0.984 2.882
Ag 0.000 0.000 0.000
Ag -1.694 2.932 -0.014
Ag 1.694 2.932 -0.014
Ir 0.000 -1.948 2.896
O 0.000 1.957 1.820
O 3.387 0.012 3.945
O 3.387 2.150 1.781
O 0.000 -0.181 3.983
O 5.248 -1.073 1.795
O -1.861 3.041 3.969
O 1.526 -1.073 1.795
O 1.861 3.041 3.969
```

Computed properties:
Uncorrected energy, eV/atom: -6.86

***

5.
VASP calculation (PBE) on a relaxed NdYBi crystal.

Geometry as extended XYZ:
```
6
Lattice="4.631 0.000 -0.010 0.000 4.631 0.010 0.021 -0.021 8.847" Properties=species:S:1:pos:R:3 pbc="T T T"
Nd 3.489 1.142 5.747
Nd 1.164 3.468 3.100
Y 3.474 3.474 0.000
Y 1.158 1.158 0.000
Bi 1.175 3.457 6.430
Bi 3.478 1.154 2.418
```

Computed properties:
Formation energy from the elements, eV per atom: -0.67
Uncorrected energy, eV/atom: -5.71

***

6.
VASP calculation (PBE) on a relaxed MgHgPt2 crystal.

Geometry as extended XYZ:
```
8
Lattice="-0.332 -3.544 1.832 3.923 -0.625 -0.499 3.504 2.035 8.944" Properties=species:S:1:pos:R:3 pbc="T T T"
Mg 1.795 -2.085 0.667
Mg 4.611 -0.337 4.556
Hg 0.000 0.000 0.000
Hg 2.484 -1.797 5.722
Pt 1.162 -1.751 3.302
Pt 3.283 -0.358 2.170
Pt 4.011 -0.043 7.203
Pt 5.734 -2.116 7.880
```

Computed properties:
Formation energy from the elements, eV per atom: -0.12
Uncorrected energy, eV/atom: -3.62

***

7.
VASP calculation (PBE) on a relaxed Dy12HoSc2 crystal.

Geometry as extended XYZ:
```
30
Lattice="-4.640 -1.685 -3.371 0.294 -3.786 4.617 -8.933 26.034 12.365" Properties=species:S:1:pos:R:3 pbc="T T T"
Dy -10.032 17.350 10.761
Dy -7.859 20.085 10.138
Dy -12.195 19.490 12.660
Dy -8.793 19.265 13.396
Dy -3.129 7.994 4.035
Dy -2.018 0.248 4.209
Dy -9.279 13.442 6.370
Dy -5.302 5.259 4.659
Dy -10.022 22.225 12.036
Dy -3.257 -1.662 1.575
Dy -5.879 13.204 7.105
Dy -6.467 8.171 3.247
Dy -10.150 12.569 9.576
Dy -5.227 10.095 5.884
Dy -1.084 1.073 0.952
Dy -7.400 7.359 6.507
Dy -8.052 10.468 7.728
Dy -5.420 0.478 3.474
Dy -6.811 12.392 10.364
Dy -7.977 15.304 8.953
Dy -11.261 20.315 9.402
Dy -3.246 3.213 2.851
Dy -4.000 7.121 7.241
Dy -4.485 1.299 0.215
Ho -2.320 -0.843 -1.685
Ho -13.426 22.456 11.303
Sc -4.123 2.339 6.060
Sc -6.590 3.389 2.066
Sc -6.688 17.174 11.546
Sc -9.156 18.224 7.552
```

Computed properties:
Formation energy from the elements, eV per atom: 0.12
Uncorrected energy, eV/atom: -4.72

***

8.
VASP calculation (PBE) on a relaxed Pm2NdDy6Y crystal.

Geometry as extended XYZ:
```
20
Lattice="9.215 -2.134 -2.215 0.783 8.547 -2.043 0.783 -2.358 8.465" Properties=species:S:1:pos:R:3 pbc="T T T"
Pm 5.392 4.247 3.281
Pm 0.781 2.000 0.949
Pm 5.388 -0.192 0.926
Pm 10.000 2.054 3.258
Nd 3.086 7.798 -2.389
Nd 7.694 -3.743 6.596
Dy 1.201 -0.824 5.916
Dy 4.972 -0.821 5.919
Dy 9.579 4.878 -1.709
Dy 5.809 4.876 -1.711
Dy 4.007 6.680 0.931
Dy 2.166 4.439 -1.395
Dy 6.774 -2.626 3.277
Dy 8.614 -0.385 5.602
Dy 2.044 4.621 2.467
Dy 4.128 2.827 0.606
Dy 8.736 -0.567 1.740
Dy 6.652 1.227 3.602
Y 3.086 1.552 3.630
Y 7.694 2.503 0.578
```

Computed properties:
Formation energy from the elements, eV per atom: 0.11
Uncorrected energy, eV/atom: -4.72

***

9.
VASP calculation (PBE) on a relaxed Cd4SbAu2 crystal.

Geometry as extended XYZ:
```
7
Lattice="-3.986 -0.706 -2.065 -1.452 -4.241 -0.748 -6.254 -1.640 7.629" Properties=species:S:1:pos:R:3 pbc="T T T"
Sb 0.000 0.000 0.000
Au -4.938 -1.642 5.090
Au -6.754 -4.944 -0.275
Cd -7.325 -3.290 5.261
Cd -3.625 -1.645 2.559
Cd -8.066 -4.941 2.257
Cd -4.367 -3.296 -0.446
```

Computed properties:
Uncorrected energy, eV/atom: -2.15

***

10.
VASP calculation (PBE) on a relaxed Nd6Zn2O crystal.

Geometry as extended XYZ:
```
18
Lattice="6.629 0.000 0.235 0.000 7.145 0.000 -0.476 0.000 10.358" Properties=species:S:1:pos:R:3 pbc="T T T"
Nd 5.711 7.037 2.892
Nd 5.174 5.006 5.856
Nd 4.947 4.933 10.074
Nd 4.282 1.360 5.817
Nd 4.056 1.434 10.034
Nd 3.994 3.464 2.640
Nd 0.441 0.108 7.701
Nd 0.979 2.139 4.738
Nd 1.206 2.212 0.520
Nd 1.871 5.785 4.777
Nd 2.097 5.711 0.559
Nd 2.159 3.681 7.953
Zn 5.823 2.938 7.994
Zn 3.407 6.511 7.896
Zn 2.746 0.634 2.697
Zn 0.330 4.207 2.600
O 3.314 3.573 0.118
O -0.238 0.000 5.179
```

Computed properties:
Uncorrected energy, eV/atom: -4.70

***

11.
VASP calculation (PBE) on a relaxed Li3InBr6 crystal.

Geometry as extended XYZ:
```
20
Lattice="3.442 -5.961 0.000 3.442 5.961 0.000 0.000 0.000 12.701" Properties=species:S:1:pos:R:3 pbc="T T T"
Li 3.442 -1.987 12.264
Li 3.442 -1.987 6.787
Li 0.000 0.000 3.175
Li 0.000 0.000 9.526
Li 3.442 1.987 0.437
Li 3.442 1.987 5.914
In 3.442 -1.987 3.175
In 3.442 1.987 9.526
Br 4.616 0.142 11.134
Br 1.257 1.893 11.134
Br 4.452 3.926 11.134
Br 1.257 -1.893 4.783
Br 4.616 -0.142 4.783
Br 2.267 -0.142 1.568
Br 2.431 -3.926 1.568
Br 5.626 -1.893 1.568
Br 5.626 1.893 7.918
Br 2.431 3.926 7.918
Br 4.452 -3.926 4.783
Br 2.267 0.142 7.918
```

Computed properties:
Uncorrected energy, eV/atom: -3.07

***

12.
VASP calculation (PBE) on a relaxed Ba2LiAl7 crystal.

Geometry as extended XYZ:
```
10
Lattice="-0.894 -2.862 3.483 -2.811 -2.423 -2.712 8.731 -6.584 -3.170" Properties=species:S:1:pos:R:3 pbc="T T T"
Ba 6.071 -6.346 -0.625
Ba 0.808 -2.880 -2.160
Li -1.852 -2.643 0.386
Al 6.197 -6.944 -4.116
Al 2.765 -3.853 0.576
Al 0.682 -2.283 1.332
Al 4.114 -5.373 -3.360
Al 4.366 -3.292 -1.585
Al 0.000 0.000 0.000
Al 2.513 -5.934 -1.199
```

Computed properties:
Formation energy from the elements, eV per atom: -0.21
Uncorrected energy, eV/atom: -3.41

***

13.
VASP calculation (PBE) on a relaxed La2ErAl3Pd4 crystal.

Geometry as extended XYZ:
```
10
Lattice="4.440 0.000 0.000 0.000 4.440 0.000 0.000 0.000 10.830" Properties=species:S:1:pos:R:3 pbc="T T T"
La 2.220 0.000 2.516
La 0.000 2.220 8.314
Er 2.220 2.220 5.415
Al 0.000 0.000 5.415
Al 2.220 0.000 9.588
Al 0.000 2.220 1.242
Pd 2.220 2.220 0.000
Pd 0.000 0.000 0.000
Pd 2.220 0.000 7.061
Pd 0.000 2.220 3.770
```

Computed properties:
Formation energy from the elements, eV per atom: -0.83
Uncorrected energy, eV/atom: -5.47

***

14.
VASP calculation (PBE) on a relaxed Mg2RePb crystal.

Geometry as extended XYZ:
```
4
Lattice="5.273 0.009 -0.004 4.445 2.836 -0.004 0.603 0.177 5.276" Properties=species:S:1:pos:R:3 pbc="T T T"
Mg 0.714 0.209 5.199
Mg 2.590 0.758 1.250
Pb 5.078 1.486 2.704
Re 7.703 2.255 4.025
```

Computed properties:
Formation energy from the elements, eV per atom: 0.46
Uncorrected energy, eV/atom: -4.38

***

15.
VASP calculation (PBE) on a relaxed GdErNiGe crystal.

Geometry as extended XYZ:
```
4
Lattice="-4.374 -2.091 0.880 -0.392 -4.908 0.182 -0.835 -2.247 4.305" Properties=species:S:1:pos:R:3 pbc="T T T"
Ni -4.201 -6.934 4.025
Ge -1.400 -2.311 1.342
Gd -2.800 -4.623 2.684
Er 0.000 0.000 0.000
```

Computed properties:
Formation energy from the elements, eV per atom: -0.54
Uncorrected energy, eV/atom: -7.80

***

16.
VASP calculation (PBE) on a relaxed NiH3Au crystal.

Geometry as extended XYZ:
```
5
Lattice="3.392 0.000 0.000 0.000 3.392 0.000 0.000 0.000 3.392" Properties=species:S:1:pos:R:3 pbc="T T T"
Ni 0.000 0.000 0.000
Au 1.696 1.696 1.696
H 0.000 1.696 0.000
H 0.000 0.000 1.696
H 1.696 0.000 0.000
```

Computed properties:
Uncorrected energy, eV/atom: -3.48

***

17.
VASP calculation (PBE) on a relaxed CaAg2Sb crystal.

Geometry as extended XYZ:
```
8
Lattice="-3.195 -2.375 2.129 1.784 -3.829 -1.594 5.230 -3.745 8.454" Properties=species:S:1:pos:R:3 pbc="T T T"
Sb 0.000 0.000 0.000
Sb 0.665 -4.611 5.426
Ca -0.705 -3.102 0.268
Ca 3.154 -5.338 3.564
Ag -0.627 -3.019 3.352
Ag 2.184 -3.507 1.276
Ag 3.304 -4.943 6.621
Ag 2.778 -8.429 6.729
```

Computed properties:
Uncorrected energy, eV/atom: -3.15

***

18.
VASP calculation (PBE) on a relaxed W21S8 crystal.

Geometry as extended XYZ:
```
29
Lattice="-8.401 8.401 1.552 8.401 -8.401 1.552 8.401 8.401 -1.552" Properties=species:S:1:pos:R:3 pbc="T T T"
W 9.449 5.876 0.000
W -1.049 2.525 1.552
W 2.525 1.049 1.552
W 5.876 7.352 0.000
W 12.145 0.147 0.000
W -3.744 8.254 1.552
W 8.254 3.744 1.552
W 0.147 4.656 0.000
W 13.402 3.142 0.000
W -5.002 5.259 1.552
W 5.259 5.002 1.552
W 3.142 3.399 0.000
W 7.125 -0.902 1.552
W 1.276 9.303 0.000
W 0.902 7.125 1.552
W 7.499 1.276 0.000
W 10.443 3.355 0.000
W -2.042 5.046 1.552
W 5.046 2.042 1.552
W 3.355 6.359 0.000
W 0.000 0.000 0.000
S 14.502 0.952 0.000
S -6.101 7.448 1.552
S 7.448 6.101 1.552
S 0.952 2.300 0.000
S 4.920 -2.057 1.552
S 3.481 10.458 0.000
S 2.057 4.920 1.552
S 6.343 3.481 0.000
```

Computed properties:
Uncorrected energy, eV/atom: -10.38

***

19.
VASP calculation (PBE) on a relaxed GaSi2HS crystal.

Geometry as extended XYZ:
```
10
Lattice="-1.806 3.382 4.641 -2.904 -2.409 0.626 6.289 -6.496 4.181" Properties=species:S:1:pos:R:3 pbc="T T T"
Ga 3.590 -2.884 5.560
Ga -1.006 -0.841 3.783
Si 2.657 -2.327 3.375
Si -1.939 -0.283 1.598
Si 5.158 -4.618 6.159
Si 0.561 -2.574 4.381
H 2.826 -2.888 1.997
H 4.519 -7.341 4.401
S -0.401 1.542 4.077
S 1.292 -2.910 6.481
```

Computed properties:
Uncorrected energy, eV/atom: -4.34

***

20.
VASP calculation (PBE) on a relaxed GeCNO2 crystal.

Geometry as extended XYZ:
```
5
Lattice="-1.525 0.596 3.300 -1.422 -3.398 -0.043 3.200 -1.361 1.725" Properties=species:S:1:pos:R:3 pbc="T T T"
Ge 0.000 0.000 0.000
C 0.127 -2.081 2.491
O -0.711 -1.699 -0.022
O -0.763 0.298 1.650
N 1.600 -0.681 0.863
```

Computed properties:
Uncorrected energy, eV/atom: -5.01